LiCeCdIn | PBE | relaxed

Calculated values
Density of states at the Fermi level, states/eV/f.u.: 7.96
E above lowest polymorph, eV/atom: 0.033
ΔE_f, meV per atom: -228.3

abc: 7.202 7.202 7.202
angles: 90.00 90.00 90.00
Space group F-43m (No. 216)
Symmetry-distinct sites (fractional):
Li 0.000 0.000 0.000 x4
Ce 0.250 0.250 0.250 x4
Cd 0.000 0.000 0.500 x4
In 0.250 0.250 0.750 x4